Material: Tl2AuS6
Method: DFT, PBE
State: optimized geometry

Unit cell a=16.159 b=6.883 c=16.159 alpha=40.36 beta=26.45 gamma=40.36
Sites, in units of the cell vectors:
1 S 0.480 0.499 0.851
2 Tl 0.442 0.036 0.910
3 S 0.369 0.957 0.587
4 S 0.520 0.501 0.149
5 S 0.851 0.999 0.480
6 S 0.751 0.158 0.010
7 Au 0.857 0.750 0.143
8 S 0.990 0.342 0.249
9 S 0.149 0.001 0.520
10 S 0.587 0.457 0.369
11 Tl 0.910 0.536 0.442
12 S 0.249 0.842 0.990
13 Tl 0.558 0.964 0.090
14 S 0.010 0.658 0.751
15 S 0.631 0.043 0.413
16 Tl 0.090 0.464 0.558
17 Au 0.143 0.250 0.857
18 S 0.413 0.543 0.631

Summary:
As for the symmetry: C2/c, No. 15.


Material: Tl5Au2S12
Method: DFT, PBE
State: optimized geometry

Unit cell a=9.524 b=8.537 c=11.985 alpha=131.28 beta=90.00 gamma=117.12
Sites, in units of the cell vectors:
1 S 0.406 0.686 0.425
2 S 0.437 0.561 0.982
3 S 0.803 0.695 0.768
4 S 0.063 0.604 0.705
5 Tl 0.567 0.347 0.316
6 Tl 0.433 0.653 0.684
7 S 0.892 0.574 0.259
8 Tl 0.752 0.984 0.398
9 S 0.197 0.305 0.232
10 S 0.136 0.126 0.299
11 Tl 0.000 0.500 0.000
12 Tl 0.248 0.016 0.602
13 S 0.594 0.314 0.575
14 S 0.108 0.426 0.741
15 Au 0.318 0.022 0.870
16 S 0.937 0.396 0.295
17 S 0.563 0.439 0.018
18 S 0.864 0.874 0.701
19 Au 0.682 0.978 0.130

Summary:
As for the symmetry: P-1, No. 2.


Material: TmTlAuS2
Method: DFT, PBE
State: optimized geometry

Unit cell a=5.489 b=6.903 c=7.283 alpha=105.08 beta=90.00 gamma=90.00
Sites, in units of the cell vectors:
1 Tm 0.500 0.000 0.250
2 S 0.323 0.754 0.439
3 Tm 0.500 0.000 0.750
4 Au 0.000 0.000 0.000
5 S 0.677 0.754 0.939
6 Tl 0.808 0.500 0.250
7 Au 0.000 0.000 0.500
8 Tl 0.192 0.500 0.750
9 S 0.677 0.246 0.561
10 S 0.323 0.246 0.061

Summary:
As for the symmetry: P2/c, No. 13.


Material: U2TlAu2S6
Method: DFT, PBE
State: optimized geometry

Unit cell a=11.897 b=9.339 c=8.157 alpha=114.19 beta=93.61 gamma=30.88
Last column: magnetic moment on the atom in μB.
Sites, in units of the cell vectors:
1 Au 0.250 0.685 0.803  -0.02
2 U 0.746 0.343 0.829  0.68
3 S 0.729 0.376 0.526  -0.04
4 S 0.797 0.552 0.980  -0.05
5 Au 0.750 0.315 0.197  -0.02
6 S 0.271 0.624 0.474  -0.04
7 S 0.316 0.886 0.256  -0.03
8 S 0.203 0.448 0.020  -0.05
9 U 0.254 0.657 0.171  0.68
10 S 0.684 0.114 0.744  -0.03
11 Tl 0.500 0.000 0.500  0.00

Summary:
As for the symmetry: P-1, No. 2.


Material: YTlAuS2
Method: DFT, PBE
State: optimized geometry

Unit cell a=5.586 b=6.731 c=7.468 alpha=104.90 beta=90.00 gamma=90.00
Sites, in units of the cell vectors:
1 Y 0.495 0.000 0.750
2 Y 0.505 0.000 0.250
3 Au 0.000 0.000 0.000
4 S 0.315 0.249 0.060
5 Au 0.000 0.000 0.500
6 Tl 0.811 0.500 0.250
7 Tl 0.189 0.500 0.750
8 S 0.685 0.249 0.560
9 S 0.315 0.751 0.440
10 S 0.685 0.751 0.940

Summary:
As for the symmetry: P2/c, No. 13.


Material: ZrTlAu2S
Method: DFT, PBE
State: optimized geometry

Unit cell a=5.073 b=5.621 c=5.073 alpha=90.00 beta=90.00 gamma=90.00
Sites, in units of the cell vectors:
1 Au 0.000 0.000 0.500
2 Au 0.500 0.000 0.000
3 S 0.500 0.500 0.500
4 Zr 0.000 0.500 0.000
5 Tl 0.000 0.000 0.000

Summary:
As for the symmetry: P4/mmm, No. 123.


Material: Tm6Au2S
Method: DFT, PBE
State: optimized geometry

Unit cell a=6.448 b=7.194 c=10.002 alpha=90.00 beta=87.38 gamma=90.00
Sites, in units of the cell vectors:
1 Tm 0.830 0.671 0.435
2 Tm 0.643 0.471 0.744
3 Tm 0.836 0.696 0.061
4 Tm 0.170 0.329 0.565
5 Au 0.937 0.389 0.238
6 Tm 0.664 0.196 0.439
7 Tm 0.164 0.304 0.939
8 Tm 0.857 0.971 0.756
9 Tm 0.357 0.529 0.256
10 Tm 0.336 0.804 0.561
11 Tm 0.330 0.829 0.935
12 S 0.000 0.000 0.500
13 Tm 0.670 0.171 0.065
14 S 0.500 0.500 0.000
15 Au 0.063 0.611 0.762
16 Au 0.437 0.111 0.738
17 Au 0.563 0.889 0.262
18 Tm 0.143 0.029 0.244

Summary:
As for the symmetry: P2_1/c, No. 14.


Material: Tm6AuS4
Method: DFT, PBE
State: optimized geometry

Unit cell a=3.843 b=6.624 c=19.783 alpha=90.00 beta=90.00 gamma=106.86
Sites, in units of the cell vectors:
1 Tm 0.666 0.332 0.750
2 Tm 0.049 0.097 0.163
3 S 0.590 0.180 0.622
4 Tm 0.049 0.097 0.337
5 S 0.861 0.722 0.961
6 Tm 0.772 0.543 0.413
7 Tm 0.951 0.903 0.837
8 S 0.410 0.820 0.122
9 S 0.861 0.722 0.539
10 Tm 0.228 0.457 0.587
11 Au 0.339 0.678 0.750
12 Tm 0.500 0.000 0.000
13 S 0.139 0.278 0.461
14 Tm 0.334 0.668 0.250
15 S 0.139 0.278 0.039
16 Tm 0.951 0.903 0.663
17 Tm 0.500 0.000 0.500
18 Au 0.661 0.322 0.250
19 Tm 0.772 0.543 0.087
20 S 0.590 0.180 0.878
21 Tm 0.228 0.457 0.913
22 S 0.410 0.820 0.378

Summary:
As for the symmetry: Cmcm, No. 63.


Material: Tm2AuS
Method: DFT, PBE
State: optimized geometry

Unit cell a=3.772 b=3.772 c=7.799 alpha=76.01 beta=76.01 gamma=60.00
Sites, in units of the cell vectors:
1 S 0.498 0.498 0.506
2 Tm 0.085 0.085 0.744
3 Au 0.668 0.668 0.996
4 Tm 0.249 0.249 0.254

Summary:
As for the symmetry: R3m, No. 160. For the energy above the most stable polymorph in this dataset, the calculation gives 3.467 kcal/mol of atoms.


Material: TmAuS2
Method: DFT, PBE
State: optimized geometry

Unit cell a=4.054 b=4.054 c=14.730 alpha=90.00 beta=90.00 gamma=120.00
Sites, in units of the cell vectors:
1 Au 0.333 0.667 0.250
2 Tm 0.000 0.000 0.000
3 Au 0.667 0.333 0.750
4 S 0.333 0.667 0.407
5 S 0.667 0.333 0.593
6 S 0.667 0.333 0.907
7 Tm 0.000 0.000 0.500
8 S 0.333 0.667 0.093

Summary:
As for the symmetry: P6_3/mmc, No. 194.


Material: TmAuS
Method: DFT, PBE
State: optimized geometry

Unit cell a=3.698 b=7.195 c=10.448 alpha=90.00 beta=90.00 gamma=90.00
Sites, in units of the cell vectors:
1 S 0.250 0.974 0.293
2 S 0.750 0.026 0.707
3 Au 0.750 0.836 0.037
4 S 0.250 0.474 0.207
5 Au 0.250 0.664 0.537
6 Tm 0.250 0.302 0.681
7 Tm 0.250 0.802 0.819
8 Au 0.250 0.164 0.963
9 S 0.750 0.526 0.793
10 Tm 0.750 0.198 0.181
11 Tm 0.750 0.698 0.319
12 Au 0.750 0.336 0.463

Summary:
As for the symmetry: Pnma, No. 62.


Material: Tm3AuS2
Method: DFT, PBE
State: optimized geometry

Unit cell a=4.205 b=6.749 c=10.268 alpha=90.00 beta=90.00 gamma=108.15
Sites, in units of the cell vectors:
1 Tm 0.644 0.289 0.056
2 S 0.000 0.000 0.500
3 S 0.485 0.970 0.750
4 Au 0.755 0.511 0.750
5 Tm 0.644 0.289 0.444
6 Tm 0.356 0.711 0.944
7 Au 0.245 0.489 0.250
8 S 0.000 0.000 0.000
9 Tm 0.356 0.711 0.556
10 Tm 0.898 0.797 0.250
11 S 0.515 0.030 0.250
12 Tm 0.102 0.203 0.750

Summary:
As for the symmetry: Cmcm, No. 63.


Ordered formation energy from raw total energies results: -0.01, -0.07, -0.86, -0.64, -0.87, 0.97, -0.84, -1.61, -1.25, -1.30, -1.18, -1.33; unit eV/atom.